1.
V2SiHg2 after structural relaxation, computed with PBE-GGA.

abc: 3.491 3.491 15.202
angles: 90.00 90.00 90.00
Space group I4/mmm (No. 139)
Symmetry-distinct sites (fractional):
V1 0.000 0.500 0.250
Si1 0.000 0.000 0.000
Hg1 0.000 0.000 0.399

Uncorrected formation energy ... 320 kJ/mol of formula units
Total magnetization ... 0.00 Bohr magnetons per cell
DFT total energy ... -4.190 eV per atom
Polymorph energy (0 for the lowest one) ... 0.15 eV per formula unit


2.
V2SiHg2 after structural relaxation, computed with PBE-GGA.

abc: 7.947 7.947 3.018
angles: 90.00 90.00 90.00
Space group P4/mbm (No. 127)
Symmetry-distinct sites (fractional):
V1 0.087 0.413 0.000
Si1 0.000 0.000 0.500
Hg1 0.204 0.704 0.500

Uncorrected formation energy ... 305 kJ/mol of formula units
Total magnetization ... 0.00 Bohr magnetons per cell
DFT total energy ... -4.220 eV per atom
Polymorph energy (0 for the lowest one) ... 0.00 eV per formula unit


3.
SiHg2W2 after structural relaxation, computed with PBE-GGA.

abc: 3.701 3.701 14.742
angles: 90.00 90.00 90.00
Space group I4/mmm (No. 139)
Symmetry-distinct sites (fractional):
Si1 0.000 0.000 0.000
Hg1 0.000 0.000 0.404
W1 0.000 0.500 0.250

Uncorrected formation energy ... 502 kJ/mol of formula units
Total magnetization ... 0.00 Bohr magnetons per cell
DFT total energy ... -5.345 eV per atom
Polymorph energy (0 for the lowest one) ... 0.00 eV per formula unit


4.
Si3HgW after structural relaxation, computed with PBE-GGA.

abc: 4.820 4.820 4.820
angles: 90.00 90.00 90.00
Space group Pm-3m (No. 221)
Symmetry-distinct sites (fractional):
Si1 0.000 0.000 0.500
Hg1 0.500 0.500 0.500
W1 0.000 0.000 0.000

Uncorrected formation energy ... 229 kJ/mol of formula units
Total magnetization ... 0.00 Bohr magnetons per cell
DFT total energy ... -5.430 eV per atom
Polymorph energy (0 for the lowest one) ... 0.00 eV per formula unit


5.
SiHg2W after structural relaxation, computed with PBE-GGA.

abc: 3.0469 3.0469 28.0591
angles: 90.00 90.00 120.00
Space group R-3m (No. 166, hexagonal axes)
Symmetry-distinct sites (fractional):
Si1 0.0000 0.0000 0.0000
Hg1 0.0000 0.0000 0.2504
W1 0.0000 0.0000 0.5000

Uncorrected formation energy ... 313 kJ/mol of formula units
Total magnetization ... 0.00 Bohr magnetons per cell
DFT total energy ... -3.934 eV per atom


6.
SiHg2W after structural relaxation, computed with PBE-GGA.

abc: 2.815 4.202 7.083
angles: 90.00 90.00 90.00
Space group Pmm2 (No. 25)
Symmetry-distinct sites (fractional):
Si1 0.000 0.000 0.000
Hg1 0.000 0.500 0.368
Hg2 0.500 0.000 0.637
W1 0.500 0.500 0.008

Uncorrected formation energy ... 178 kJ/mol of formula units
Total magnetization ... 0.00 Bohr magnetons per cell
DFT total energy ... -4.283 eV per atom